Below is an optimized crystal structure of TiTlMo2F, with properties calculated at the PBE+U level.

Output
The calculation puts the raw total energy at -24.06 eV/cell. The density of states at the Fermi level is 0.999 states/eV/atom. The value obtained for the density is 6.6 g cm⁻³. The space-group type is P4/mmm.

```
TiTlMo2F
1.0
5.483 0.000 0.000
0.000 5.483 0.000
0.000 0.000 3.850
Ti Tl Mo F
1 1 2 1
Direct
0.000 0.000 0.000
0.500 0.500 0.500
0.000 0.500 0.000
0.500 0.000 0.000
0.000 0.000 0.500
```